5
Lattice="6.141 0.000 0.000 0.000 6.141 0.000 0.000 0.000 6.141" Properties=species:S:1:pos:R:3 comment="CaAc3Ge PBE-GGA optimized geometry" total_energy_ev_per_atom=-3.89 total_magnetization_mub_per_atom=0.034 pbc="T T T"
Ca 0.000 0.000 0.000
Ac 0.000 3.070 3.070
Ac 3.070 0.000 3.070
Ac 3.070 3.070 0.000
Ge 3.070 3.070 3.070